Record 1
Material: SiAg2Pt
Method: DFT, GGA-PBE
State: optimized geometry

Results
Raw total energy, eV per atom: -4.406

Unit cell a=3.1021 b=3.1021 c=6.9202 alpha=90.00 beta=90.00 gamma=90.00
Positions (direct):
1 Si 0.0000 0.0000 0.0000
2 Ag 0.0000 0.0000 0.5453
3 Ag 0.5000 0.5000 0.2663
4 Pt 0.5000 0.5000 0.8343



Record 2
Material: KH4PbI3O2
Method: DFT, GGA-PBE
State: optimized geometry

Results
Raw total energy, eV per atom: -3.999

Unit cell a=10.6025 b=22.5820 c=4.6143 alpha=90.00 beta=90.00 gamma=90.00
Positions (direct):
1 K 0.1569 0.1990 0.0000
2 K 0.3431 0.6990 0.5000
3 K 0.6569 0.3010 0.0000
4 K 0.8431 0.8010 0.5000
5 H 0.0173 0.0029 0.3125
6 H 0.0210 0.8533 0.0028
7 H 0.0727 0.0934 0.5002
8 H 0.1394 0.9920 0.5007
9 H 0.3606 0.4920 0.0007
10 H 0.4273 0.5934 0.0002
11 H 0.4790 0.3533 0.5028
12 H 0.4827 0.5029 0.8125
13 H 0.5173 0.4971 0.3125
14 H 0.5210 0.6467 0.0028
15 H 0.5727 0.4066 0.5002
16 H 0.6394 0.5080 0.5007
17 H 0.8606 0.0080 0.0007
18 H 0.9273 0.9066 0.0002
19 H 0.9790 0.1467 0.5028
20 H 0.9827 0.9971 0.8125
21 Pb 0.0455 0.4062 0.4939
22 Pb 0.4545 0.9062 0.9939
23 Pb 0.5455 0.0938 0.4939
24 Pb 0.9545 0.5938 0.9939
25 I 0.0748 0.7192 0.9972
26 I 0.1549 0.5496 0.4923
27 I 0.2499 0.3736 0.9928
28 I 0.2501 0.8736 0.4928
29 I 0.3451 0.0496 0.9923
30 I 0.4252 0.2192 0.4972
31 I 0.5748 0.7808 0.9972
32 I 0.6549 0.9504 0.4923
33 I 0.7499 0.1264 0.9928
34 I 0.7501 0.6264 0.4928
35 I 0.8451 0.4504 0.9923
36 I 0.9252 0.2808 0.4972
37 O 0.0598 0.0141 0.4993
38 O 0.0689 0.1374 0.5006
39 O 0.4311 0.6374 0.0006
40 O 0.4402 0.5141 0.9993
41 O 0.5598 0.4859 0.4993
42 O 0.5689 0.3626 0.5006
43 O 0.9311 0.8626 0.0006
44 O 0.9402 0.9859 0.9993